## P
First-principles (GGA-PBE) data for crystalline ZrNb2As at its relaxed geometry, as listed in Alexandria.

The structure belongs to space group Fm-3m (No. 225); the cell edges are 6.608, 6.608 and 6.608 Å and the angles 90.00°, 90.00° and 90.00°. Symmetry generates all atoms from Zr at (0.000, 0.000, 0.000), Nb at (0.250, 0.250, 0.250) and As at (0.000, 0.000, 0.500).

Its density of states at the Fermi level is 1.29 states/eV per atom.

## Q
First-principles (GGA-PBE) data for crystalline ZrNb2As at its relaxed geometry, as listed in Alexandria.

The structure belongs to space group Cmcm (No. 63); the cell edges are 3.597, 10.123 and 8.254 Å and the angles 90.00°, 90.00° and 90.00°. Symmetry generates all atoms from Zr at (0.000, 0.039, 0.250), Nb at (0.000, 0.354, 0.052) and As at (0.000, 0.247, 0.750).

Its density of states at the Fermi level is 0.48 states/eV per atom.

The calculated energies rank the structures as follows, beginning with the most stable: Q, P.

## P
First-principles (GGA-PBE) data for crystalline Zr2NbAs at its relaxed geometry, as listed in Alexandria.

The structure belongs to space group I-42d (No. 122); the cell edges are 7.972, 7.972 and 5.355 Å and the angles 90.00°, 90.00° and 90.00°. Symmetry generates all atoms from Zr at (0.208, 0.250, 0.125), Nb at (0.000, 0.000, 0.500) and As at (0.000, 0.000, 0.000).

Its density of states at the Fermi level is 0.69 states/eV per atom.

## Q
First-principles (GGA-PBE) data for crystalline Zr2NbAs at its relaxed geometry, as listed in Alexandria.

The structure belongs to space group Fm-3m (No. 225); the cell edges are 6.767, 6.767 and 6.767 Å and the angles 90.00°, 90.00° and 90.00°. Symmetry generates all atoms from Zr at (0.250, 0.250, 0.250), Nb at (0.000, 0.000, 0.000) and As at (0.000, 0.000, 0.500).

Its density of states at the Fermi level is 0.34 states/eV per atom.

The calculated energies rank the structures as follows, beginning with the most stable: Q, P.

## P
First-principles (GGA-PBE) data for crystalline Nd3As at its relaxed geometry, as listed in Alexandria.

The structure belongs to space group Imm2 (No. 44); the cell edges are 3.911, 9.571 and 6.529 Å and the angles 90.00°, 90.00° and 90.00°. Symmetry generates all atoms from Nd at (0.000, 0.000, 0.000), Nd at (0.000, 0.192, 0.434) and As at (0.000, 0.500, 0.166).

Its density of states at the Fermi level is 0.52 states/eV per atom.

## Q
First-principles (GGA-PBE) data for crystalline Nd3As at its relaxed geometry, as listed in Alexandria.

The structure belongs to space group Pmm2 (No. 25); the cell edges are 4.131, 4.135 and 7.837 Å and the angles 90.00°, 90.00° and 90.00°. Symmetry generates all atoms from Nd at (0.000, 0.000, 0.000), Nd at (0.000, 0.500, 0.350), Nd at (0.500, 0.500, 0.702) and As at (0.500, 0.000, 0.352).

Its density of states at the Fermi level is 1.00 states/eV per atom.

The calculated energies rank the structures as follows, beginning with the most stable: P, Q.

## P
First-principles (GGA-PBE) data for crystalline NdAsO4 at its relaxed geometry, as listed in Alexandria.

The structure belongs to space group P2_1/c (No. 14); the cell edges are 6.780, 7.202 and 8.386 Å and the angles 90.00°, 126.23° and 90.00°. Symmetry generates all atoms from Nd at (0.190, 0.150, 0.282), As at (0.309, 0.661, 0.198), O at (0.106, 0.656, 0.606), O at (0.167, 0.005, 0.745), O at (0.353, 0.604, 0.021) and O at (0.392, 0.211, 0.114).

Its density of states at the Fermi level is 0.00 states/eV per atom.

## Q
First-principles (GGA-PBE) data for crystalline NdAsO4 at its relaxed geometry, as listed in Alexandria.

The structure belongs to space group I4_1/amd (No. 141, origin choice 2); the cell edges are 7.371, 7.371 and 6.519 Å and the angles 90.00°, 90.00° and 90.00°. Symmetry generates all atoms from Nd at (0.000, 0.250, 0.375), As at (0.000, 0.250, 0.875) and O at (0.000, 0.072, 0.704).

Its density of states at the Fermi level is 0.00 states/eV per atom.

The calculated energies rank the structures as follows, beginning with the most stable: Q, P.